Entry from Alexandria: a relaxed structure of PrDy2ErTh (PBE).

Results
Calculated formation energy, meV/atom: 321

Lattice parameters (Å, degrees): 3.538 5.658 8.697 90.00 90.00 90.00
Space group Pmmm (No. 47)
Inequivalent atoms, fractional coordinates:
Pr1 0.000 0.000 0.000 (multiplicity 1)
Dy1 0.000 0.500 0.322 (multiplicity 2)
Er1 0.500 0.000 0.500 (multiplicity 1)
Th1 0.500 0.500 0.000 (multiplicity 1)

---

Entry from Alexandria: a relaxed structure of Pr2DyErTl2 (PBE).

Results
Calculated formation energy, meV/atom: -266

Lattice parameters (Å, degrees): 5.153 10.249 6.905 90.00 90.00 90.00
Space group Pmc2_1 (No. 26)
Inequivalent atoms, fractional coordinates:
Pr1 0.000 0.044 0.000 (multiplicity 2)
Pr2 0.500 0.188 0.267 (multiplicity 2)
Dy1 0.500 0.459 0.901 (multiplicity 2)
Er1 0.000 0.316 0.618 (multiplicity 2)
Tl1 0.000 0.378 0.158 (multiplicity 2)
Tl2 0.500 0.148 0.739 (multiplicity 2)

---

Entry from Alexandria: a relaxed structure of PrDyErTl (PBE).

Results
Calculated formation energy, meV/atom: -51

Lattice parameters (Å, degrees): 7.822 7.822 7.822 90.00 90.00 90.00
Space group F-43m (No. 216)
Inequivalent atoms, fractional coordinates:
Pr1 0.000 0.000 0.000 (multiplicity 4)
Dy1 0.000 0.000 0.500 (multiplicity 4)
Er1 0.250 0.250 0.750 (multiplicity 4)
Tl1 0.250 0.250 0.250 (multiplicity 4)

---

Entry from Alexandria: a relaxed structure of PrDyErTl (PBE).

Results
Calculated formation energy, meV/atom: -179

Lattice parameters (Å, degrees): 4.840 4.910 4.954 90.00 90.00 90.00
Space group Pmmm (No. 47)
Inequivalent atoms, fractional coordinates:
Pr1 0.000 0.000 0.000 (multiplicity 1)
Dy1 0.500 0.500 0.000 (multiplicity 1)
Er1 0.500 0.000 0.500 (multiplicity 1)
Tl1 0.000 0.500 0.500 (multiplicity 1)

---

Entry from Alexandria: a relaxed structure of Pr2Dy6Er3Tm (PBE).

Results
Calculated formation energy, meV/atom: 20

Lattice parameters (Å, degrees): 6.161 10.662 11.790 90.00 99.99 90.00
Space group C2/m (No. 12)
Inequivalent atoms, fractional coordinates:
Pr1 0.000 0.167 0.000 (multiplicity 4)
Dy1 0.247 0.500 0.746 (multiplicity 4)
Dy2 0.249 0.166 0.746 (multiplicity 8)
Er1 0.000 0.000 0.500 (multiplicity 2)
Er2 0.000 0.334 0.500 (multiplicity 4)
Tm1 0.000 0.500 0.000 (multiplicity 2)

---

Entry from Alexandria: a relaxed structure of Pr6DyEr2Tm3 (PBE).

Results
Calculated formation energy, meV/atom: 15

Lattice parameters (Å, degrees): 6.277 10.868 11.802 90.00 100.19 90.00
Space group C2/m (No. 12)
Inequivalent atoms, fractional coordinates:
Pr1 0.249 0.167 0.249 (multiplicity 8)
Pr2 0.250 0.000 0.751 (multiplicity 4)
Dy1 0.000 0.500 0.500 (multiplicity 2)
Er1 0.000 0.167 0.500 (multiplicity 4)
Tm1 0.000 0.000 0.000 (multiplicity 2)
Tm2 0.000 0.333 0.000 (multiplicity 4)

---

DOS at the Fermi energy (computed, states/eV/atom): 1.77, 1.05, 1.45, 1.47, 1.27, 1.01